# InAgSe2

A relaxed InAgSe2 crystal (PBE-GGA, Alexandria via LeMat-Bulk).

Structure (extended XYZ):
```
4
Lattice="-1.850 0.225 3.449 -2.635 -2.623 -1.242 3.351 -4.352 2.082" Properties=species:S:1:pos:R:3 pbc="T T T"
Ag -1.405 -2.287 1.624
In 0.271 -4.463 2.665
Se 0.021 -0.027 0.013
Se 1.654 -2.148 1.028
```

final energy = -12.412 eV/cell
raw formation energy = 14 kJ/mol of formula units
SG = P4/mmm
total moment = 0.00 Bohr magnetons per cell

---

# InAg3Se

A relaxed InAg3Se crystal (PBE-GGA, Alexandria via LeMat-Bulk).

Structure (extended XYZ):
```
5
Lattice="-1.519 -1.749 4.575 -1.933 -4.187 -2.243 4.500 -2.389 0.581" Properties=species:S:1:pos:R:3 pbc="T T T"
Se 0.000 0.000 0.000
Ag -0.966 -2.093 -1.121
Ag 2.250 -1.194 0.291
Ag -0.760 -0.875 2.287
In 0.524 -4.162 1.457
```

final energy = -13.322 eV/cell
raw formation energy = 140 kJ/mol of formula units
SG = Pm-3m
total moment = 0.00 Bohr magnetons per cell